! PBE Tb2Pm2Al, optimized geometry; values from VASP
! Calculated total energy, eV per atom: -4.49
&SYSTEM
  ibrav = 0, nat = 10, ntyp = 3
/
ATOMIC_SPECIES
Al 26.98 Al.upf
Tb 158.93 Tb.upf
Pm 145.00 Pm.upf
ATOMIC_POSITIONS angstrom
Al -1.008 2.812 0.322
Al -3.023 8.436 0.966
Tb -4.900 8.045 -1.488
Tb -2.015 5.624 0.644
Tb 0.000 0.000 0.000
Tb -3.899 1.729 0.730
Pm -3.517 4.185 -1.930
Pm -6.546 9.117 1.576
Pm -2.252 0.656 -2.334
Pm -5.282 5.589 1.172
CELL_PARAMETERS angstrom
-0.862 0.300 -5.317
-3.906 -1.774 3.270
-4.030 11.248 1.289

***

! PBE Na2TlInF, optimized geometry; values from VASP
! Uncorrected formation energy, eV per atom: -0.97
&SYSTEM
  ibrav = 0, nat = 5, ntyp = 4
/
ATOMIC_SPECIES
In 114.82 In.upf
Tl 204.38 Tl.upf
Na 22.99 Na.upf
F 19.00 F.upf
ATOMIC_POSITIONS angstrom
In 2.479 -3.529 -0.554
Tl 2.900 -0.361 -0.266
Na -0.336 -1.422 -1.735
Na -0.085 -1.745 1.447
F 0.000 0.000 0.000
CELL_PARAMETERS angstrom
-0.170 -3.491 2.894
-0.673 -2.844 -3.471
5.801 -0.723 -0.532

***

! PBE MgAl2Rh2, optimized geometry; values from VASP
! Calculated total energy, eV per atom: -5.58
&SYSTEM
  ibrav = 0, nat = 10, ntyp = 3
/
ATOMIC_SPECIES
Al 26.98 Al.upf
Rh 102.91 Rh.upf
Mg 24.30 Mg.upf
ATOMIC_POSITIONS angstrom
Al -2.400 -6.347 -0.795
Al -0.658 -3.041 0.350
Al 2.438 -3.903 -1.874
Al 0.696 -7.208 -3.019
Rh -1.795 -6.727 -3.279
Rh -2.770 -3.827 -0.917
Rh 0.605 -2.092 -1.651
Rh 1.581 -4.992 -4.014
Mg -0.595 -4.410 -2.465
Mg 0.000 0.000 0.000
CELL_PARAMETERS angstrom
-5.180 -4.980 -0.339
3.991 -3.839 -4.592
1.227 -1.430 2.262

***

! PBE UInAg2S6, optimized geometry; values from VASP
! Uncorrected formation energy, eV per atom: -0.49
&SYSTEM
  ibrav = 0, nat = 10, ntyp = 4
/
ATOMIC_SPECIES
S 32.06 S.upf
U 238.03 U.upf
In 114.82 In.upf
Ag 107.87 Ag.upf
ATOMIC_POSITIONS angstrom
S -1.480 -2.704 -4.984
S -0.260 -6.160 -4.203
S 1.844 -4.196 -6.564
S -0.247 -7.134 -7.560
S -1.424 -3.825 -8.794
S -3.155 -5.820 -6.135
U 0.019 -1.153 -3.574
In -0.786 -6.186 -9.929
Ag -1.654 -6.551 -2.006
Ag -0.709 -4.718 -6.448
CELL_PARAMETERS angstrom
-3.043 -0.710 -5.705
3.188 -2.468 -5.099
-1.701 -6.706 -1.961

***

! PBE RbB2S, optimized geometry; values from VASP
! Uncorrected formation energy, eV per atom: 1.28
&SYSTEM
  ibrav = 0, nat = 8, ntyp = 3
/
ATOMIC_SPECIES
B 10.81 B.upf
S 32.06 S.upf
Rb 85.47 Rb.upf
ATOMIC_POSITIONS angstrom
B 1.560 -3.719 0.757
B 3.256 -3.854 -2.087
B 5.371 -5.761 -1.085
B 5.872 -9.005 -0.633
S 1.602 -3.977 -1.136
S 4.885 -4.708 -2.604
Rb 3.144 -6.462 1.079
Rb 0.000 0.000 0.000
CELL_PARAMETERS angstrom
-0.139 -5.731 2.547
3.343 -2.223 -4.820
4.825 -3.217 0.748

***

! PBE Zr2SbBr, optimized geometry; values from VASP
! Uncorrected formation energy, eV per atom: -0.56
&SYSTEM
  ibrav = 0, nat = 4, ntyp = 3
/
ATOMIC_SPECIES
Sb 121.76 Sb.upf
Zr 91.22 Zr.upf
Br 79.90 Br.upf
ATOMIC_POSITIONS angstrom
Sb 1.879 1.879 5.311
Zr 0.000 0.000 6.597
Zr 1.879 1.879 1.806
Br 0.000 0.000 2.855
CELL_PARAMETERS angstrom
3.757 0.000 0.000
0.000 3.757 0.000
0.000 0.000 6.627

***

! PBE Rb2Hg2Te, optimized geometry; values from VASP
! Uncorrected formation energy, eV per atom: -0.39
&SYSTEM
  ibrav = 0, nat = 10, ntyp = 3
/
ATOMIC_SPECIES
Rb 85.47 Rb.upf
Te 127.60 Te.upf
Hg 200.59 Hg.upf
ATOMIC_POSITIONS angstrom
Rb -4.927 -3.813 0.704
Rb -6.035 -6.036 4.930
Rb -1.044 -1.708 2.829
Rb -2.152 -3.931 7.055
Te -3.539 -3.872 3.879
Te 0.000 0.000 0.000
Hg -7.935 -3.137 2.984
Hg -4.253 -0.001 1.605
Hg -6.036 -3.321 7.638
Hg -2.354 -0.185 6.259
CELL_PARAMETERS angstrom
-7.584 -5.144 -1.080
0.505 -2.601 8.839
-3.211 4.422 1.485

***

! PBE LiTl2TcTe, optimized geometry; values from VASP
! Uncorrected formation energy, eV per atom: 0.76
&SYSTEM
  ibrav = 0, nat = 5, ntyp = 4
/
ATOMIC_SPECIES
Tc 98.00 Tc.upf
Tl 204.38 Tl.upf
Li 6.94 Li.upf
Te 127.60 Te.upf
ATOMIC_POSITIONS angstrom
Tc 2.560 2.491 2.560
Tl 2.560 0.000 0.000
Tl 0.000 0.000 2.560
Li 0.000 0.000 0.000
Te 0.000 2.491 0.000
CELL_PARAMETERS angstrom
5.119 0.000 0.000
0.000 4.982 0.000
0.000 0.000 5.119

***

! PBE Na4Er3NpO8, optimized geometry; values from VASP
! Uncorrected formation energy, eV per atom: -2.66
&SYSTEM
  ibrav = 0, nat = 16, ntyp = 4
/
ATOMIC_SPECIES
O 16.00 O.upf
Np 237.00 Np.upf
Er 167.26 Er.upf
Na 22.99 Na.upf
ATOMIC_POSITIONS angstrom
O 1.740 1.874 0.137
O 3.417 3.248 2.293
O 0.000 0.199 2.554
O 0.000 3.248 2.337
O 5.095 1.874 0.137
O 3.417 0.198 2.510
O -1.678 1.573 4.710
O 1.678 1.573 4.710
Np 0.000 3.430 0.006
Er 3.417 3.430 0.006
Er 1.709 1.723 2.424
Er -1.709 1.723 2.424
Na 1.709 -1.707 2.417
Na -1.709 -1.707 2.417
Na 0.000 0.000 0.000
Na 3.417 0.000 0.000
CELL_PARAMETERS angstrom
6.835 0.000 0.000
0.000 6.860 0.013
-3.417 -3.414 4.835

***

! PBE Rb3Np3AlSe8, optimized geometry; values from VASP
! Uncorrected formation energy, eV per atom: -1.13
&SYSTEM
  ibrav = 0, nat = 15, ntyp = 4
/
ATOMIC_SPECIES
Se 78.96 Se.upf
Np 237.00 Np.upf
Rb 85.47 Rb.upf
Al 26.98 Al.upf
ATOMIC_POSITIONS angstrom
Se 2.228 3.711 5.515
Se 0.001 -0.145 5.531
Se 1.936 -1.275 2.603
Se 6.392 -1.276 2.603
Se 4.164 2.581 2.587
Se 4.164 0.023 5.656
Se 0.001 2.413 2.462
Se -2.228 3.712 5.514
Np -2.082 1.218 4.059
Np 4.164 -2.388 4.074
Np 2.082 1.218 4.059
Rb -2.082 3.606 -0.015
Rb 0.000 0.000 0.000
Rb 2.082 3.606 -0.015
Al 0.000 -2.388 4.074
CELL_PARAMETERS angstrom
8.328 0.001 0.001
-4.163 7.211 -0.030
0.000 -4.776 8.147

***

no.,theoretical density (g/cm³)
1,6.96
2,5.28
3,6.19
4,5.62
5,3.08
6,6.82
7,4.82
8,8.16
9,7.01
10,5.53